[1]
# ScNb3V

Crystalline ScNb3V at its relaxed geometry (PBE-GGA, the Alexandria database).

a = 4.7096 Å, b = 4.7096 Å, c = 4.7096 Å
α = 90.00°, β = 90.00°, γ = 90.00°
Last column: nearest neighbours and their distance in Å.
Space group Pm-3m (No. 221)
Asymmetric unit:
Sc 0.0000 0.0000 0.0000 (multiplicity 1)  12 Nb 3.33
Nb 0.0000 0.5000 0.5000 (multiplicity 3)  2 V 2.35
V 0.5000 0.5000 0.5000 (multiplicity 1)  6 Nb 2.35

Volume (Å³/atom): 20.9
Crystal system: cubic
Formation energy from the elements (kcal/mol of atoms): 16.378
M_tot (Bohr magnetons per cell): 0.00


[2]
# HfPd4Au

Crystalline HfPd4Au at its relaxed geometry (PBE-GGA, the Alexandria database).

a = 7.3940 Å, b = 7.3940 Å, c = 7.3940 Å
α = 90.00°, β = 90.00°, γ = 90.00°
Last column: nearest neighbours and their distance in Å.
Space group F-43m (No. 216)
Asymmetric unit:
Hf 0.0000 0.0000 0.0000 (multiplicity 4)  12 Pd 3.07, 4 Au 3.20
Pd 0.1249 0.1249 0.3751 (multiplicity 16)  6 Pd 2.61-2.62
Au 0.2500 0.2500 0.7500 (multiplicity 4)  12 Pd 3.07, 4 Hf 3.20

Volume (Å³/atom): 16.8
Crystal system: cubic
Formation energy from the elements (kcal/mol of atoms): -9.533
M_tot (Bohr magnetons per cell): 0.00


[3]
# La2InGa2

Crystalline La2InGa2 at its relaxed geometry (PBE-GGA, the Alexandria database).

a = 5.1350 Å, b = 5.1350 Å, c = 11.5736 Å
α = 90.00°, β = 90.00°, γ = 90.00°
Last column: nearest neighbours and their distance in Å.
Space group I4/mmm (No. 139)
Asymmetric unit:
La 0.0000 0.5000 0.2500 (multiplicity 4)  4 Ga 3.09
In 0.0000 0.0000 0.0000 (multiplicity 2)  8 Ga 3.82, 8 La 3.87
Ga 0.0000 0.0000 0.3988 (multiplicity 4)  1 Ga 2.34

Volume (Å³/atom): 30.5
Crystal system: tetragonal
Formation energy from the elements (kcal/mol of atoms): -3.050
M_tot (Bohr magnetons per cell): 0.00


[4]
# CaCeDy4Se8

Crystalline CaCeDy4Se8 at its relaxed geometry (PBE-GGA, the Alexandria database).

a = 8.4677 Å, b = 8.4677 Å, c = 21.0652 Å
α = 90.00°, β = 90.00°, γ = 120.00°
Last column: nearest neighbours and their distance in Å.
Space group R3m (No. 160, hexagonal axes)
Asymmetric unit:
Ca 0.0000 0.0000 0.0000 (multiplicity 3)  4 Se 2.80-2.83
Ce 0.0000 0.0000 0.3730 (multiplicity 3)  6 Se 2.95-3.02
Dy 0.0000 0.0000 0.7483 (multiplicity 3)  4 Se 2.74-2.78
Dy 0.0050 0.5025 0.8747 (multiplicity 9)  6 Se 2.84-2.94
Se 0.0000 0.0000 0.1342 (multiplicity 3)  1 Ca 2.83, 3 Dy 2.87
Se 0.0000 0.0000 0.6161 (multiplicity 3)  4 Dy 2.78-2.94
Se 0.0141 0.5070 0.1298 (multiplicity 9)  3 Dy 2.74-2.92, 1 Ce 3.02
Se 0.1774 0.3549 0.9509 (multiplicity 9)  1 Ca 2.80, 2 Dy 2.84, 1 Ce 2.95

Volume (Å³/atom): 31.1
Crystal system: trigonal
M_tot (Bohr magnetons per cell): 4.31
E_form (uncorrected) (meV/atom): -1779


[5]
# AcGa3PtRh

Crystalline AcGa3PtRh at its relaxed geometry (PBE-GGA, the Alexandria database).

a = 6.5812 Å, b = 12.3495 Å, c = 6.4228 Å
α = 90.00°, β = 90.00°, γ = 90.00°
Last column: nearest neighbours and their distance in Å.
Space group Cmcm (No. 63)
Asymmetric unit:
Ac 0.0000 0.2442 0.2500 (multiplicity 4)  1 Rh 3.02, 2 Ga 3.28
Ga 0.0000 0.1890 0.7500 (multiplicity 4)  1 Rh 2.33, 1 Pt 2.37
Ga 0.2066 0.5000 0.0000 (multiplicity 8)  2 Rh 2.51, 2 Pt 2.57, 1 Ga 2.72
Pt 0.0000 0.3807 0.7500 (multiplicity 4)  5 Ga 2.37-2.57
Rh 0.0000 0.9996 0.2500 (multiplicity 4)  5 Ga 2.33-2.51

Volume (Å³/atom): 21.8
Crystal system: orthorhombic
Formation energy from the elements (kcal/mol of atoms): -14.438
M_tot (Bohr magnetons per cell): 0.00


[6]
# CaNpCu2O8

Crystalline CaNpCu2O8 at its relaxed geometry (PBE-GGA, the Alexandria database).

a = 6.8376 Å, b = 6.8376 Å, c = 6.7796 Å
α = 90.00°, β = 90.00°, γ = 90.00°
Last column: nearest neighbours and their distance in Å.
Space group I-4m2 (No. 119)
Asymmetric unit:
Ca 0.0000 0.0000 0.0000 (multiplicity 2)  8 O 2.30-2.53
Np 0.0000 0.5000 0.7500 (multiplicity 2)  4 O 2.03
Cu 0.0000 0.0000 0.5000 (multiplicity 2)  4 O 1.93
Cu 0.0000 0.5000 0.2500 (multiplicity 2)  4 O 1.79
O 0.0000 0.2089 0.6920 (multiplicity 8)  1 Cu 1.93, 1 Np 2.03
O 0.0000 0.3335 0.0460 (multiplicity 8)  1 Cu 1.79

Volume (Å³/atom): 13.2
Crystal system: tetragonal
M_tot (Bohr magnetons per cell): 1.46
E_form (uncorrected) (meV/atom): -1372


[7]
# MnMo4As

Crystalline MnMo4As at its relaxed geometry (PBE-GGA, the Alexandria database).

a = 7.3801 Å, b = 7.3801 Å, c = 7.3801 Å
α = 90.00°, β = 90.00°, γ = 90.00°
Last column: nearest neighbours and their distance in Å.
Space group F-43m (No. 216)
Asymmetric unit:
Mn 0.0000 0.0000 0.0000 (multiplicity 4)  12 Mo 3.06, 4 As 3.20
Mo 0.1255 0.1255 0.3745 (multiplicity 16)  6 Mo 2.60-2.62
As 0.2500 0.2500 0.7500 (multiplicity 4)  12 Mo 3.06, 4 Mn 3.20

Volume (Å³/atom): 16.7
Crystal system: cubic
Formation energy from the elements (kcal/mol of atoms): 13.040
M_tot (Bohr magnetons per cell): 11.67


[8]
# PmPr4Mg2

Crystalline PmPr4Mg2 at its relaxed geometry (PBE-GGA, the Alexandria database).

a = 5.7110 Å, b = 5.7110 Å, c = 27.1494 Å
α = 90.00°, β = 90.00°, γ = 120.00°
Last column: nearest neighbours and their distance in Å.
Space group R-3m (No. 166, hexagonal axes)
Asymmetric unit:
Pm 0.0000 0.0000 0.0000 (multiplicity 3)  2 Mg 3.30, 6 Pr 3.45
Pr 0.0000 0.0000 0.2426 (multiplicity 6)  4 Mg 3.29-3.40, 4 Pr 3.48-3.60
Pr 0.0000 0.0000 0.3708 (multiplicity 6)  3 Pm 3.45, 4 Pr 3.48-3.60
Mg 0.0000 0.0000 0.1214 (multiplicity 6)  4 Pr 3.29-3.40, 1 Pm 3.30

Volume (Å³/atom): 36.5
Crystal system: trigonal
Formation energy from the elements (kcal/mol of atoms): 5.940
M_tot (Bohr magnetons per cell): 0.00


[9]
# Co3SbH

Crystalline Co3SbH at its relaxed geometry (PBE-GGA, the Alexandria database).

a = 3.7284 Å, b = 3.7284 Å, c = 3.7284 Å
α = 90.00°, β = 90.00°, γ = 90.00°
Last column: nearest neighbours and their distance in Å.
Space group Pm-3m (No. 221)
Asymmetric unit:
Co 0.0000 0.0000 0.5000 (multiplicity 3)  2 H 1.86
Sb 0.5000 0.5000 0.5000 (multiplicity 1)  12 Co 2.64
H 0.0000 0.0000 0.0000 (multiplicity 1)  6 Co 1.86

Volume (Å³/atom): 10.4
Crystal system: cubic
Uncorrected energy (eV/atom): -5.797
M_tot (Bohr magnetons per cell): 0.99


[10]
# Hf2In2S

Crystalline Hf2In2S at its relaxed geometry (PBE-GGA, the Alexandria database).

a = 6.6856 Å, b = 6.6856 Å, c = 4.8737 Å
α = 90.00°, β = 90.00°, γ = 90.00°
Last column: nearest neighbours and their distance in Å.
Space group P4/mbm (No. 127)
Asymmetric unit:
Hf 0.1625 0.3375 0.0000 (multiplicity 4)  2 S 2.50
In 0.1549 0.6549 0.5000 (multiplicity 4)  1 In 2.93, 6 Hf 2.99-3.23
S 0.0000 0.0000 0.0000 (multiplicity 2)  4 Hf 2.50

Volume (Å³/atom): 21.8
Crystal system: tetragonal
M_tot (Bohr magnetons per cell): 0.00
E_form (uncorrected) (meV/atom): -515


> Among the records above, which one has the highest M_tot?

MnMo4As


> The lowest volume belongs to which entry?

Co3SbH


What did the eighth record say?
# PmPr4Mg2

Crystalline PmPr4Mg2 at its relaxed geometry (PBE-GGA, the Alexandria database).

a = 5.7110 Å, b = 5.7110 Å, c = 27.1494 Å
α = 90.00°, β = 90.00°, γ = 120.00°
Last column: nearest neighbours and their distance in Å.
Space group R-3m (No. 166, hexagonal axes)
Asymmetric unit:
Pm 0.0000 0.0000 0.0000 (multiplicity 3)  2 Mg 3.30, 6 Pr 3.45
Pr 0.0000 0.0000 0.2426 (multiplicity 6)  4 Mg 3.29-3.40, 4 Pr 3.48-3.60
Pr 0.0000 0.0000 0.3708 (multiplicity 6)  3 Pm 3.45, 4 Pr 3.48-3.60
Mg 0.0000 0.0000 0.1214 (multiplicity 6)  4 Pr 3.29-3.40, 1 Pm 3.30

Volume (Å³/atom): 36.5
Crystal system: trigonal
Formation energy from the elements (kcal/mol of atoms): 5.940
M_tot (Bohr magnetons per cell): 0.00


> What is the M_tot in the fourth record?

4.31 Bohr magnetons per cell